# Rb2VInO5 | Alexandria via LeMat-Bulk | PBE with a Hubbard U | optimized geometry
# Total magnetic moment ... 0.33 μB per cell
# Total DFT energy (no corrections) ... -206.7 eV for the cell shown
data_Rb2VInO5
_chemical_formula_sum 'Rb8 V4 In4 O20'
_cell_length_a 3.730
_cell_length_b 16.006
_cell_length_c 11.202
_cell_angle_alpha 90.00
_cell_angle_beta 90.00
_cell_angle_gamma 90.00
_symmetry_space_group_name_H-M 'C m c 21'
_symmetry_Int_Tables_number 36
loop_
_symmetry_equiv_pos_as_xyz
'x,y,z'
'-x,-y,z+1/2'
'-x,y,z'
'x,-y,z+1/2'
'x+1/2,y+1/2,z'
'-x+1/2,-y+1/2,z+1/2'
'-x+1/2,y+1/2,z'
'x+1/2,-y+1/2,z+1/2'
loop_
_atom_site_label
_atom_site_type_symbol
_atom_site_fract_x
_atom_site_fract_y
_atom_site_fract_z
Rb1 Rb 0.000 0.041 0.000
Rb2 Rb 0.000 0.113 0.710
V1 V 0.000 0.355 0.764
In1 In 0.000 0.251 0.451
O1 O 0.000 0.152 0.298
O2 O 0.000 0.285 0.646
O3 O 0.000 0.316 0.943
O4 O 0.000 0.367 0.382
O5 O 0.000 0.454 0.709